(1)
## Na2BeCuO4 (PBE-GGA)

Data for a relaxed structure of Na2BeCuO4.

Lattice parameters (Å, degrees): 9.868 8.511 6.062 83.43 58.97 37.61
Element x y z (fractional)
Na 0.061 0.061 0.689
Na 0.311 0.311 0.939
Na 0.689 0.689 0.061
Na 0.939 0.939 0.311
Be 0.375 0.375 0.375
Be 0.625 0.625 0.625
Cu 0.125 0.125 0.125
Cu 0.875 0.875 0.875
O 0.014 0.663 0.540
O 0.283 0.540 0.663
O 0.337 0.986 0.717
O 0.460 0.717 0.986
O 0.540 0.283 0.014
O 0.663 0.014 0.283
O 0.717 0.460 0.337
O 0.986 0.337 0.460

Output
Calculated volume ... 13.76 A^3/atom
Space group ... No. 70
Calculated total energy ... -4.939 eV/atom

(2)
## TcAgSe (PBE-GGA)

Data for a relaxed structure of TcAgSe.

Lattice parameters (Å, degrees): 3.132 3.132 10.739 90.00 90.00 90.00
Element x y z (fractional)
Tc 0.000 0.000 0.000
Tc 0.500 0.500 0.500
Ag 0.000 0.000 0.314
Ag 0.500 0.500 0.814
Se 0.000 0.000 0.609
Se 0.500 0.500 0.109

Output
Energy relative to the lowest polymorph listed for this composition ... 0.073 eV per atom
Calculated volume ... 17.56 A^3/atom
Space group ... No. 107

(3)
## Mn2Fe3 (PBE-GGA)

Data for a relaxed structure of Mn2Fe3.

Lattice parameters (Å, degrees): 3.870 3.870 4.755 90.00 90.00 120.00
Element x y z (fractional)
Mn 0.333 0.667 0.354
Mn 0.667 0.333 0.646
Fe 0.000 0.000 0.500
Fe 0.333 0.667 0.869
Fe 0.667 0.333 0.131

Output
DFT formation energy ... 48 kJ per mole of atoms
Energy relative to the lowest polymorph listed for this composition ... 0.458 eV per atom
Calculated volume ... 12.33 A^3/atom
Space group ... No. 164

(4)
## CaZnSe2N (PBE-GGA)

Data for a relaxed structure of CaZnSe2N.

Lattice parameters (Å, degrees): 5.530 5.530 4.537 90.00 90.00 90.00
Element x y z (fractional)
Ca 0.000 0.000 0.000
Zn 0.500 0.500 0.500
Se 0.000 0.500 0.000
Se 0.500 0.000 0.000
N 0.000 0.000 0.500

Output
Energy relative to the lowest polymorph listed for this composition ... 0.728 eV per atom
Calculated volume ... 27.75 A^3/atom
Space group ... No. 123

(5)
## Dy6Sc3In (PBE-GGA)

Data for a relaxed structure of Dy6Sc3In.

Lattice parameters (Å, degrees): 12.428 3.396 13.729 90.00 100.16 90.00
Element x y z (fractional)
Dy 0.008 0.250 0.312
Dy 0.156 0.250 0.885
Dy 0.244 0.750 0.304
Dy 0.275 0.750 0.716
Dy 0.311 0.750 0.077
Dy 0.381 0.250 0.527
Dy 0.619 0.750 0.473
Dy 0.689 0.250 0.923
Dy 0.725 0.250 0.284
Dy 0.756 0.250 0.696
Dy 0.844 0.750 0.115
Dy 0.992 0.750 0.688
Sc 0.077 0.250 0.096
Sc 0.127 0.750 0.502
Sc 0.427 0.250 0.900
Sc 0.573 0.750 0.100
Sc 0.873 0.250 0.498
Sc 0.923 0.750 0.904
In 0.467 0.250 0.277
In 0.533 0.750 0.723

Output
DFT formation energy ... 0 kJ per mole of atoms
Calculated volume ... 28.52 A^3/atom
Space group ... No. 11

(6)
## La2AlAs (PBE-GGA)

Data for a relaxed structure of La2AlAs.

Lattice parameters (Å, degrees): 3.877 3.877 7.076 90.00 90.00 90.00
Element x y z (fractional)
La 0.000 0.000 0.234
La 0.000 0.000 0.766
Al 0.500 0.500 0.500
As 0.500 0.500 0.000

Output
DFT formation energy ... -75 kJ per mole of atoms
Energy relative to the lowest polymorph listed for this composition ... 0.061 eV per atom
Calculated volume ... 26.59 A^3/atom
Space group ... No. 123